Entry 1:
Mn3CuNi12 (PBE, relaxed); spin magnetization = 16.08 μB/cell; uncorrected energy = -6.377 eV/atom; formation enthalpy at 0 K = -65 meV per atom; space-group type = P4/mmm (123)
1.0
3.5507 0.0000 0.0000
0.0000 3.5507 0.0000
0.0000 0.0000 14.3000
Mn Cu Ni
3 1 12
Direct
0.0000 0.0000 0.0000
0.0000 0.0000 0.2509
0.0000 0.0000 0.7491
0.0000 0.0000 0.5000
0.0000 0.5000 0.1253
0.0000 0.5000 0.3756
0.0000 0.5000 0.6244
0.0000 0.5000 0.8747
0.5000 0.0000 0.1253
0.5000 0.0000 0.3756
0.5000 0.0000 0.6244
0.5000 0.0000 0.8747
0.5000 0.5000 0.0000
0.5000 0.5000 0.2507
0.5000 0.5000 0.5000
0.5000 0.5000 0.7493

---

Entry 2:
In2SiRh (PBE, relaxed); spin magnetization = 0.00 μB/cell; uncorrected energy = -4.738 eV/atom; raw formation energy = -176 meV per atom; space-group type = P4mm (99)
1.0
3.0728 0.0000 0.0000
0.0000 3.0728 0.0000
0.0000 0.0000 8.2963
In Si Rh
2 1 1
Direct
0.0000 0.0000 0.0000
0.5000 0.5000 0.3355
0.5000 0.5000 0.7261
0.0000 0.0000 0.5855

---

Entry 3:
CaZr2SbCl (PBE, relaxed); spin magnetization = 0.00 μB/cell; uncorrected energy = -5.240 eV/atom; raw formation energy = -227 meV per atom; space-group type = P4/mmm (123)
1.0
4.8356 0.0000 0.0000
0.0000 4.8356 0.0000
0.0000 0.0000 5.1506
Ca Zr Sb Cl
1 2 1 1
Direct
0.0000 0.0000 0.0000
0.0000 0.5000 0.5000
0.5000 0.0000 0.5000
0.5000 0.5000 0.0000
0.0000 0.0000 0.5000

---

Entry 4:
Y2MgCdC (PBE, relaxed); spin magnetization = 0.00 μB/cell; uncorrected energy = -5.151 eV/atom; formation enthalpy at 0 K = -219 meV per atom; space-group type = P4/mmm (123)
1.0
4.9735 0.0000 0.0000
0.0000 4.9735 0.0000
0.0000 0.0000 4.4317
Y Mg Cd C
2 1 1 1
Direct
0.0000 0.5000 0.0000
0.5000 0.0000 0.0000
0.0000 0.0000 0.5000
0.5000 0.5000 0.5000
0.0000 0.0000 0.0000